w) DFT (PBE-GGA) results for a relaxed Pr4Zn2Cd crystal.

Symmetry ... No. 166
Crystal system ... trigonal

The structure in POSCAR format:
```
Pr4Zn2Cd
1.0
2.638 1.523 8.432
-2.638 1.523 8.432
0.000 -3.047 8.432
Pr Zn Cd
4 2 1
Cartesian
0.000 0.000 2.936
0.000 0.000 9.320
0.000 0.000 15.975
0.000 0.000 22.359
0.000 0.000 6.189
0.000 0.000 19.106
0.000 0.000 12.647
```



x) DFT (PBE-GGA) results for a relaxed Pr4Zn2Cd crystal.

Symmetry ... No. 166
Crystal system ... trigonal

The structure in POSCAR format:
```
Pr4Zn2Cd
1.0
2.618 1.511 9.033
-2.618 1.511 9.033
0.000 -3.023 9.033
Pr Zn Cd
4 2 1
Cartesian
0.000 0.000 3.252
0.000 0.000 7.922
0.000 0.000 19.179
0.000 0.000 23.849
0.000 0.000 10.926
0.000 0.000 16.174
0.000 0.000 13.550
```



Most stable structure: w)



w) DFT (PBE-GGA) results for a relaxed Pr3Zn4Cd4 crystal.

Symmetry ... No. 12
Crystal system ... monoclinic

The structure in POSCAR format:
```
Pr3Zn4Cd4
1.0
14.629 -2.354 0.000
14.629 2.354 0.000
-0.499 0.000 3.790
Pr Zn Cd
3 4 4
Cartesian
0.000 0.000 0.000
10.000 0.000 3.247
18.760 0.000 0.543
5.109 0.000 2.603
13.081 0.000 1.728
15.678 0.000 2.063
23.650 0.000 1.187
2.428 0.000 2.248
7.415 0.000 0.979
21.344 0.000 2.811
26.332 0.000 1.543
```



x) DFT (PBE-GGA) results for a relaxed Pr3Zn4Cd4 crystal.

Symmetry ... No. 71
Crystal system ... orthorhombic

The structure in POSCAR format:
```
Pr3Zn4Cd4
1.0
-2.249 3.799 7.562
2.249 -3.799 7.562
2.249 3.799 -7.562
Pr Zn Cd
3 4 4
Cartesian
0.000 0.000 0.000
2.249 0.000 5.668
0.000 3.799 1.894
0.000 0.000 3.350
2.249 2.469 0.000
0.000 1.330 7.562
0.000 0.000 11.775
2.249 1.471 -2.549
2.249 1.471 2.549
0.000 2.328 5.013
0.000 2.328 10.111
```



Most stable structure: w)



w) DFT (PBE-GGA) results for a relaxed Pr3ZnCd crystal.

Symmetry ... No. 63
Crystal system ... orthorhombic

The structure in POSCAR format:
```
Pr3ZnCd
1.0
2.705 -10.056 0.000
2.705 10.056 0.000
0.000 0.000 5.405
Pr Zn Cd
6 2 2
Cartesian
2.705 8.747 4.053
2.705 5.028 4.053
2.705 1.308 4.053
2.705 -1.308 1.351
2.705 -5.028 1.351
2.705 -8.747 1.351
2.705 6.949 1.351
2.705 -6.949 4.053
2.705 3.137 1.351
2.705 -3.137 4.053
```



x) DFT (PBE-GGA) results for a relaxed Pr3ZnCd crystal.

Symmetry ... No. 221
Crystal system ... cubic

The structure in POSCAR format:
```
Pr3ZnCd
1.0
7.610 0.000 0.000
0.000 7.610 0.000
0.000 0.000 7.610
Pr Zn Cd
9 3 3
Cartesian
0.000 0.000 0.000
2.015 2.015 2.015
2.015 2.015 5.595
2.015 5.595 2.015
2.015 5.595 5.595
5.595 2.015 2.015
5.595 2.015 5.595
5.595 5.595 2.015
5.595 5.595 5.595
0.000 3.805 3.805
3.805 0.000 3.805
3.805 3.805 0.000
0.000 0.000 3.805
0.000 3.805 0.000
3.805 0.000 0.000
```



Most stable structure: w)



w) DFT (PBE-GGA) results for a relaxed PrZrCd2 crystal.

Symmetry ... No. 225
Crystal system ... cubic

The structure in POSCAR format:
```
PrZrCd2
1.0
7.409 0.000 0.000
0.000 7.409 0.000
0.000 0.000 7.409
Pr Zr Cd
4 4 8
Cartesian
0.000 0.000 0.000
0.000 3.705 3.705
3.705 0.000 3.705
3.705 3.705 0.000
0.000 0.000 3.705
0.000 3.705 0.000
3.705 0.000 0.000
3.705 3.705 3.705
1.852 1.852 1.852
1.852 1.852 5.557
1.852 5.557 1.852
1.852 5.557 5.557
5.557 1.852 1.852
5.557 1.852 5.557
5.557 5.557 1.852
5.557 5.557 5.557
```



x) DFT (PBE-GGA) results for a relaxed PrZrCd2 crystal.

Symmetry ... No. 123
Crystal system ... tetragonal

The structure in POSCAR format:
```
PrZrCd2
1.0
3.602 0.000 0.000
0.000 3.602 0.000
0.000 0.000 7.774
Pr Zr Cd
1 1 2
Cartesian
0.000 0.000 0.000
0.000 0.000 3.887
1.801 1.801 2.193
1.801 1.801 5.581
```



Most stable structure: x)